# UAs2 GGA-PBEsol optimized geometry
data_UAs2
_chemical_formula_sum 'U4 As8'
_cell_length_a 3.8203
_cell_length_b 7.0072
_cell_length_c 9.2312
_cell_angle_alpha 90.00
_cell_angle_beta 90.00
_cell_angle_gamma 90.00
_space_group_name_H-M_alt 'P 1'
_space_group_IT_number 1
loop_
_space_group_symop_operation_xyz
'x,y,z'
loop_
_atom_site_label
_atom_site_fract_x
_atom_site_fract_y
_atom_site_fract_z
As1 0.7500 0.0968 0.1721
As2 0.2500 0.9032 0.8279
As3 0.7500 0.5968 0.3279
As4 0.2500 0.4032 0.6721
As5 0.2500 0.3936 0.0484
As6 0.7500 0.6064 0.9516
As7 0.2500 0.8936 0.4516
As8 0.7500 0.1064 0.5484
U1 0.7500 0.2037 0.8534
U2 0.2500 0.7963 0.1466
U3 0.7500 0.7037 0.6466
U4 0.2500 0.2963 0.3534
# formation energy: -0.52 eV per atom
# space group: Pnma
# N(E_F): 19.5 states/eV per cell
# energy: -7.98 eV per atom



# Li2AlB5H38N6 GGA-PBEsol optimized geometry
data_Li2AlB5H38N6
_chemical_formula_sum 'Li4 Al2 B10 H76 N12'
_cell_length_a 7.5087
_cell_length_b 7.5087
_cell_length_c 15.6484
_cell_angle_alpha 90.00
_cell_angle_beta 90.00
_cell_angle_gamma 120.00
_space_group_name_H-M_alt 'P 1'
_space_group_IT_number 1
loop_
_space_group_symop_operation_xyz
'x,y,z'
loop_
_atom_site_label
_atom_site_fract_x
_atom_site_fract_y
_atom_site_fract_z
Li1 0.3333 0.6667 0.2850
Li2 0.3333 0.6667 0.7850
Li3 0.6667 0.3333 0.7150
Li4 0.6667 0.3333 0.2150
Al1 0.0000 0.0000 0.5000
Al2 0.0000 0.0000 0.0000
B1 0.0000 0.3762 0.2500
B2 0.6238 0.6238 0.2500
B3 0.3762 0.0000 0.2500
B4 0.0000 0.6238 0.7500
B5 0.3762 0.3762 0.7500
B6 0.6238 0.0000 0.7500
B7 0.3333 0.6667 0.4493
B8 0.3333 0.6667 0.9493
B9 0.6667 0.3333 0.5507
B10 0.6667 0.3333 0.0507
H1 0.7359 0.8990 0.6279
H2 0.1010 0.8369 0.6279
H3 0.1631 0.2641 0.6279
H4 0.7359 0.8369 0.1279
H5 0.1631 0.8990 0.1279
H6 0.1010 0.2641 0.1279
H7 0.2641 0.1010 0.3721
H8 0.8990 0.1631 0.3721
H9 0.8369 0.7359 0.3721
H10 0.2641 0.1631 0.8721
H11 0.8369 0.1010 0.8721
H12 0.8990 0.7359 0.8721
H13 0.6124 0.7727 0.5414
H14 0.2273 0.8397 0.5414
H15 0.1603 0.3876 0.5414
H16 0.6124 0.8397 0.0414
H17 0.1603 0.7727 0.0414
H18 0.2273 0.3876 0.0414
H19 0.3876 0.2273 0.4586
H20 0.7727 0.1603 0.4586
H21 0.8397 0.6124 0.4586
H22 0.3876 0.1603 0.9586
H23 0.8397 0.2273 0.9586
H24 0.7727 0.6124 0.9586
H25 0.7462 0.6946 0.5960
H26 0.3054 0.0516 0.5960
H27 0.9484 0.2538 0.5960
H28 0.7462 0.0516 0.0960
H29 0.9484 0.6946 0.0960
H30 0.3054 0.2538 0.0960
H31 0.2538 0.3054 0.4040
H32 0.6946 0.9484 0.4040
H33 0.0516 0.7462 0.4040
H34 0.2538 0.9484 0.9040
H35 0.0516 0.3054 0.9040
H36 0.6946 0.7462 0.9040
H37 0.8990 0.4204 0.2987
H38 0.5796 0.4786 0.2987
H39 0.5214 0.1010 0.2987
H40 0.8990 0.4786 0.7987
H41 0.5214 0.4204 0.7987
H42 0.5796 0.1010 0.7987
H43 0.1010 0.5796 0.7013
H44 0.4204 0.5214 0.7013
H45 0.4786 0.8990 0.7013
H46 0.1010 0.5214 0.2013
H47 0.4786 0.5796 0.2013
H48 0.4204 0.8990 0.2013
H49 0.1156 0.3376 0.2917
H50 0.6624 0.7780 0.2917
H51 0.2220 0.8844 0.2917
H52 0.1156 0.7780 0.7917
H53 0.2220 0.3376 0.7917
H54 0.6624 0.8844 0.7917
H55 0.8844 0.6624 0.7083
H56 0.3376 0.2220 0.7083
H57 0.7780 0.1156 0.7083
H58 0.8844 0.2220 0.2083
H59 0.7780 0.6624 0.2083
H60 0.3376 0.1156 0.2083
H61 0.3333 0.6667 0.5279
H62 0.3333 0.6667 0.0279
H63 0.6667 0.3333 0.4721
H64 0.6667 0.3333 0.9721
H65 0.4679 0.6328 0.4228
H66 0.3672 0.8351 0.4228
H67 0.1649 0.5321 0.4228
H68 0.4679 0.8351 0.9228
H69 0.1649 0.6328 0.9228
H70 0.3672 0.5321 0.9228
H71 0.5321 0.3672 0.5772
H72 0.6328 0.1649 0.5772
H73 0.8351 0.4679 0.5772
H74 0.5321 0.1649 0.0772
H75 0.8351 0.3672 0.0772
H76 0.6328 0.4679 0.0772
N1 0.7501 0.8265 0.5741
N2 0.1735 0.9236 0.5741
N3 0.0764 0.2499 0.5741
N4 0.7501 0.9236 0.0741
N5 0.0764 0.8265 0.0741
N6 0.1735 0.2499 0.0741
N7 0.2499 0.1735 0.4259
N8 0.8265 0.0764 0.4259
N9 0.9236 0.7501 0.4259
N10 0.2499 0.0764 0.9259
N11 0.9236 0.1735 0.9259
N12 0.8265 0.7501 0.9259
# space group: P-3c1
# N(E_F): 0.0 states/eV per cell
# energy: -4.57 eV per atom



# LiMg2CuAg GGA-PBEsol optimized geometry
data_LiMg2CuAg
_chemical_formula_sum 'Li1 Mg2 Cu1 Ag1'
_cell_length_a 4.0400
_cell_length_b 4.7338
_cell_length_c 4.7338
_cell_angle_alpha 90.00
_cell_angle_beta 90.00
_cell_angle_gamma 90.00
_space_group_name_H-M_alt 'P 1'
_space_group_IT_number 1
loop_
_space_group_symop_operation_xyz
'x,y,z'
loop_
_atom_site_label
_atom_site_fract_x
_atom_site_fract_y
_atom_site_fract_z
Mg1 0.0000 0.0000 0.5000
Mg2 0.0000 0.5000 0.0000
Cu1 0.5000 0.0000 0.0000
Ag1 0.5000 0.5000 0.5000
Li1 0.0000 0.0000 0.0000
# formation energy: 0.50 eV per atom
# space group: P4/mmm
# N(E_F): 2.1 states/eV per cell
# energy: -2.11 eV per atom



# In2SiNi GGA-PBEsol optimized geometry
data_In2SiNi
_chemical_formula_sum 'In2 Si1 Ni1'
_cell_length_a 3.1799
_cell_length_b 4.7185
_cell_length_c 4.7185
_cell_angle_alpha 90.00
_cell_angle_beta 90.00
_cell_angle_gamma 90.00
_space_group_name_H-M_alt 'P 1'
_space_group_IT_number 1
loop_
_space_group_symop_operation_xyz
'x,y,z'
loop_
_atom_site_label
_atom_site_fract_x
_atom_site_fract_y
_atom_site_fract_z
In1 0.0000 0.0000 0.5000
In2 0.0000 0.5000 0.0000
Ni1 0.5000 0.5000 0.5000
Si1 0.5000 0.0000 0.0000
# space group: P4/mmm
# N(E_F): 2.8 states/eV per cell
# ΔE_f (raw): 31.3 kJ per mole of atoms
# energy: -4.14 eV per atom



# HgPtSe2 GGA-PBEsol optimized geometry
data_HgPtSe2
_chemical_formula_sum 'Hg1 Pt1 Se2'
_cell_length_a 3.6810
_cell_length_b 4.8061
_cell_length_c 5.4662
_cell_angle_alpha 113.31
_cell_angle_beta 90.00
_cell_angle_gamma 90.00
_space_group_name_H-M_alt 'P 1'
_space_group_IT_number 1
loop_
_space_group_symop_operation_xyz
'x,y,z'
loop_
_atom_site_label
_atom_site_fract_x
_atom_site_fract_y
_atom_site_fract_z
Se1 0.0000 0.8706 0.1594
Se2 0.0000 0.1294 0.8406
Hg1 0.5000 0.5000 0.5000
Pt1 0.5000 0.5000 0.0000
# space group: P2/m
# N(E_F): 1.1 states/eV per cell
# ΔE_f (raw): -22.0 kJ per mole of atoms
# energy: -4.04 eV per atom



# CrCoSeBr2 GGA-PBEsol optimized geometry
data_CrCoSeBr2
_chemical_formula_sum 'Cr1 Co1 Se1 Br2'
_cell_length_a 4.6068
_cell_length_b 4.8229
_cell_length_c 4.8229
_cell_angle_alpha 90.00
_cell_angle_beta 90.00
_cell_angle_gamma 90.00
_space_group_name_H-M_alt 'P 1'
_space_group_IT_number 1
loop_
_space_group_symop_operation_xyz
'x,y,z'
loop_
_atom_site_label
_atom_site_fract_x
_atom_site_fract_y
_atom_site_fract_z
Cr1 0.5000 0.5000 0.5000
Co1 0.0000 0.0000 0.0000
Se1 0.5000 0.0000 0.0000
Br1 0.0000 0.0000 0.5000
Br2 0.0000 0.5000 0.0000
# space group: P4/mmm
# N(E_F): 5.9 states/eV per cell
# ΔE_f (raw): 38.4 kJ per mole of atoms
# energy: -4.72 eV per atom